# PBE-GGA Hf4InHgN2, relaxed
data_Hf4InHgN2
_cell_length_a 3.2634
_cell_length_b 3.2634
_cell_length_c 14.5844
_cell_angle_alpha 90.00
_cell_angle_beta 90.00
_cell_angle_gamma 120.00
_symmetry_space_group_name_H-M 'P -6 m 2'
_symmetry_Int_Tables_number 187
_symmetry_space_group_name_Hall 'P -6 2'
loop_
_atom_site_label
_atom_site_type_symbol
_atom_site_fract_x
_atom_site_fract_y
_atom_site_fract_z
Hf1 Hf 0.0000 0.0000 0.1646
Hf2 Hf 0.6667 0.3333 0.3324
In1 In 0.0000 0.0000 0.5000
Hg1 Hg 0.6667 0.3333 0.0000
N1 N 0.3333 0.6667 0.2469
# Mass density in g/cm3: 13.1
# Raw total energy in eV/atom: -8.453